(1)
Density functional theory data (PBE) for a geometry-optimized AcPm2Hg5 structure.

Cell lengths 5.4265, 5.4265, 15.2189 Å; angles 90.00, 90.00, 90.00 degrees
With the nearest neighbours (Å) after each atom.
Fractional coordinates of all 16 atoms:
Ac: 0.0000 0.0000 0.0000  8 Hg 3.36
Ac: 0.5000 0.5000 0.5000  8 Hg 3.36
Pm: 0.0000 0.0000 0.2707  8 Hg 3.11-3.46
Pm: 0.0000 0.0000 0.7293  8 Hg 3.11-3.46
Pm: 0.5000 0.5000 0.2293  8 Hg 3.11-3.46
Pm: 0.5000 0.5000 0.7707  8 Hg 3.11-3.46
Hg: 0.0000 0.0000 0.5000  8 Hg 3.36, 2 Pm 3.49
Hg: 0.0000 0.5000 0.1299  4 Pm 3.11-3.46, 2 Hg 3.36, 2 Ac 3.36
Hg: 0.0000 0.5000 0.3701  4 Pm 3.11-3.46, 2 Hg 3.36, 2 Ac 3.36
Hg: 0.0000 0.5000 0.6299  4 Pm 3.11-3.46, 2 Hg 3.36, 2 Ac 3.36
Hg: 0.0000 0.5000 0.8701  4 Pm 3.11-3.46, 2 Hg 3.36, 2 Ac 3.36
Hg: 0.5000 0.0000 0.1299  4 Pm 3.11-3.46, 2 Hg 3.36, 2 Ac 3.36
Hg: 0.5000 0.0000 0.3701  4 Pm 3.11-3.46, 2 Hg 3.36, 2 Ac 3.36
Hg: 0.5000 0.0000 0.6299  4 Pm 3.11-3.46, 2 Hg 3.36, 2 Ac 3.36
Hg: 0.5000 0.0000 0.8701  4 Pm 3.11-3.46, 2 Hg 3.36, 2 Ac 3.36
Hg: 0.5000 0.5000 0.0000  8 Hg 3.36, 2 Pm 3.49

Results
- Total energy: -18.7 eV/f.u.
- Theoretical density: 11.3 Mg/m³
- V: 28.01 A^3/atom
- Energy relative to the elements: -10.3 kcal/mol of atoms

---

(2)
Density functional theory data (PBE) for a geometry-optimized La4Pm2ErSc structure.

Cell lengths 5.1442, 5.2080, 10.0869 Å; angles 90.00, 90.01, 90.00 degrees
With the nearest neighbours (Å) after each atom.
Fractional coordinates of all 8 atoms:
La: 0.0006 0.0000 0.2534  4 Pm 3.58-3.65, 2 Sc 3.60, 2 Er 3.62-3.63, 4 La 3.66
La: 0.4986 0.5000 0.7461  2 Sc 3.57-3.58, 4 Pm 3.60-3.63, 2 Er 3.65, 4 La 3.66
La: 0.5014 0.5000 0.2539  2 Sc 3.57-3.58, 4 Pm 3.60-3.63, 2 Er 3.65, 4 La 3.66
La: 0.9994 0.0000 0.7466  4 Pm 3.58-3.65, 2 Sc 3.60, 2 Er 3.62-3.63, 4 La 3.66
Pm: 0.0000 0.5000 0.0000  8 La 3.62-3.65, 4 Er 3.66
Pm: 0.5000 0.0000 0.5000  8 La 3.58-3.60, 4 Sc 3.66
Er: 0.5000 0.0000 0.0000  8 La 3.62-3.65, 4 Pm 3.66
Sc: 0.0000 0.5000 0.5000  8 La 3.57-3.60, 4 Pm 3.66

Results
- Total energy: -40.0 eV/f.u.
- Theoretical density: 6.5 Mg/m³
- V: 33.78 A^3/atom
- Energy relative to the elements: 0.4 kcal/mol of atoms

---

(3)
Density functional theory data (PBE) for a geometry-optimized CuReSi2 structure.

Cell lengths 2.8950, 2.8950, 22.8952 Å; angles 90.00, 90.00, 120.00 degrees
With the nearest neighbours (Å) after each atom.
Fractional coordinates of all 12 atoms:
Cu: 0.0000 0.0000 0.0000  3 Si 2.43
Cu: 0.3333 0.6667 0.6667  3 Si 2.43
Cu: 0.6667 0.3333 0.3333  3 Si 2.43
Re: 0.0000 0.0000 0.7602  3 Si 2.47, 3 Cu 2.72
Re: 0.3333 0.6667 0.4269  3 Si 2.47, 3 Cu 2.72
Re: 0.6667 0.3333 0.0936  3 Si 2.47, 3 Cu 2.72
Si: 0.0000 0.0000 0.2566  3 Cu 2.43, 3 Si 2.54
Si: 0.0000 0.0000 0.5066  3 Re 2.47, 3 Si 2.54
Si: 0.3333 0.6667 0.1733  3 Re 2.47, 3 Si 2.54
Si: 0.3333 0.6667 0.9232  3 Cu 2.43, 3 Si 2.54
Si: 0.6667 0.3333 0.5899  3 Cu 2.43, 3 Si 2.54
Si: 0.6667 0.3333 0.8400  3 Re 2.47, 3 Si 2.54

Results
- Energy relative to the elements, uncorrected: 0.22 eV/atom
- Total energy: -26.5 eV/f.u.
- Energy above the lowest structure with this stoichiometry: 359 meV per atom
- Theoretical density: 9.2 Mg/m³
- V: 13.85 A^3/atom

---

Q: What is the formula in the second record?
A: La4Pm2ErSc

---

Q: The highest total energy belongs to which entry?
A: AcPm2Hg5

---

Q: The lowest theoretical density belongs to which entry?
A: La4Pm2ErSc